First-principles (PBE) data for an optimized crystal structure of CsMgBi2Pb, as listed in Alexandria via LeMat-Bulk.

The electronic total energy is -30.3 eV for the cell shown.

It has space group I-4m2 (No. 119), with a = 5.182 Å, b = 5.182 Å, c = 14.877 Å, α = 90.00°, β = 90.00° and γ = 90.00°. Symmetry generates all atoms from Cs at (0.000, 0.000, 0.000), Mg at (0.000, 0.500, 0.750), Bi at (0.000, 0.000, 0.368) and Pb at (0.000, 0.500, 0.250).

=====

First-principles (PBE) data for an optimized crystal structure of CsMgBiPb, as listed in Alexandria via LeMat-Bulk.

The electronic total energy is -22.0 eV for the cell shown.

It has space group P4/nmm (No. 129, origin choice 2), with a = 4.625 Å, b = 4.625 Å, c = 15.694 Å, α = 90.00°, β = 90.00° and γ = 90.00°. Symmetry generates all atoms from Cs at (0.250, 0.250, 0.242), Mg at (0.250, 0.750, 0.500), Bi at (0.250, 0.250, 0.620) and Pb at (0.250, 0.750, 0.000).

=====

First-principles (PBE) data for an optimized crystal structure of CsMgBiSb, as listed in Alexandria via LeMat-Bulk.

The electronic total energy is -23.9 eV for the cell shown. The value obtained for the uncorrected formation energy is -0.38 eV per atom.

It has space group P4/nmm (No. 129, origin choice 2), with a = 4.584 Å, b = 4.584 Å, c = 15.317 Å, α = 90.00°, β = 90.00° and γ = 90.00°. Symmetry generates all atoms from Cs at (0.250, 0.250, 0.240), Mg at (0.250, 0.750, 0.500), Bi at (0.250, 0.750, 0.000) and Sb at (0.250, 0.250, 0.617).

=====

First-principles (PBE) data for an optimized crystal structure of CsMgBiSe3, as listed in Alexandria via LeMat-Bulk.

The electronic total energy is -45.0 eV for the cell shown. The value obtained for the uncorrected formation energy is -0.96 eV per atom.

It has space group P2_1/m (No. 11), with a = 9.951 Å, b = 4.361 Å, c = 10.472 Å, α = 90.00°, β = 109.59° and γ = 90.00°. Symmetry generates all atoms from Cs at (0.207, 0.250, 0.238), Mg at (0.090, 0.250, 0.611), Bi at (0.336, 0.750, 0.872), Se at (0.131, 0.250, 0.867), Se at (0.186, 0.750, 0.534) and Se at (0.464, 0.750, 0.153).